# 1
Computed, not measured: LaTe2C at its PBEsol-relaxed geometry at the SCAN level of DFT.

Results
V in Å³/f.u.: 131.8
Energy relative to the elements, uncorrected in eV per atom: 0.453
ρ in kg/m³: 5118

a b c (Å): 4.3888 4.3888 23.6969
angles (deg): 90.00 90.00 120.00
Space group R-3m (No. 166, hexagonal axes)
Symmetry-distinct sites (fractional):
La: 0.0000 0.0000 0.0000 x3
Te: 0.0000 0.0000 0.4151 x6
C: 0.0000 0.0000 0.5000 x3

=====

# 2
Computed, not measured: AlIO2 at its PBEsol-relaxed geometry at the SCAN level of DFT.

Results
V in Å³/f.u.: 52.3
Energy relative to the elements, uncorrected in eV per atom: 0.429
ρ in kg/m³: 5896
Polymorph energy (0 for the lowest one) in eV per atom: 2.021

a b c (Å): 5.9382 5.9382 5.9382
angles (deg): 90.00 90.00 90.00
Space group Fm-3m (No. 225)
Symmetry-distinct sites (fractional):
Al: 0.0000 0.0000 0.0000 x4
I: 0.0000 0.0000 0.5000 x4
O: 0.2500 0.2500 0.2500 x8

=====

# 3
Computed, not measured: AlZn2Br at its PBEsol-relaxed geometry at the SCAN level of DFT.

Results
V in Å³/f.u.: 78.7
Energy relative to the elements, uncorrected in eV per atom: 0.304
ρ in kg/m³: 5018
Polymorph energy (0 for the lowest one) in eV per atom: 0.160

a b c (Å): 3.9442 3.9442 10.1126
angles (deg): 90.00 90.00 90.00
Space group I-4m2 (No. 119)
Symmetry-distinct sites (fractional):
Al: 0.0000 0.0000 0.0000 x2
Zn: 0.0000 0.0000 0.5000 x2
Zn: 0.0000 0.5000 0.7500 x2
Br: 0.0000 0.5000 0.2500 x2

=====

# 4
Computed, not measured: HfMnTl2Pt at its PBEsol-relaxed geometry at the SCAN level of DFT.

Results
V in Å³/f.u.: 110.7
ρ in kg/m³: 12563
Calculated formation energy in eV per atom: 0.664

a b c (Å): 4.8477 4.8477 4.7092
angles (deg): 90.00 90.00 90.00
Space group P4/mmm (No. 123)
Symmetry-distinct sites (fractional):
Hf: 0.0000 0.0000 0.0000 x1
Mn: 0.5000 0.5000 0.5000 x1
Tl: 0.0000 0.5000 0.5000 x2
Pt: 0.5000 0.5000 0.0000 x1

=====

# 5
Computed, not measured: AgTe2Cl at its PBEsol-relaxed geometry at the SCAN level of DFT.

Results
V in Å³/f.u.: 91.2
Energy relative to the elements, uncorrected in eV per atom: 0.256
ρ in kg/m³: 7257

a b c (Å): 5.3769 5.3769 3.1543
angles (deg): 90.00 90.00 90.00
Space group P4/mmm (No. 123)
Symmetry-distinct sites (fractional):
Ag: 0.0000 0.0000 0.0000 x1
Te: 0.0000 0.5000 0.5000 x2
Cl: 0.5000 0.5000 0.0000 x1

=====

# 6
Computed, not measured: ReSbTe2C at its PBEsol-relaxed geometry at the SCAN level of DFT.

Results
V in Å³/f.u.: 135.0
Energy relative to the elements, uncorrected in eV per atom: 1.970
ρ in kg/m³: 7073

a b c (Å): 5.1362 5.1362 5.1185
angles (deg): 90.00 90.00 90.00
Space group P4/mmm (No. 123)
Symmetry-distinct sites (fractional):
Re: 0.0000 0.0000 0.0000 x1
Sb: 0.0000 0.0000 0.5000 x1
Te: 0.0000 0.5000 0.0000 x2
C: 0.5000 0.5000 0.5000 x1

=====

The records above yield total magnetic moment values of 2.2; 0.0; 0.0; 3.6; 0.0; 1.2 μB per formula unit, respectively.